[1]
A geometry-optimized Ce3SeCl2 structure. Source: Alexandria via LeMat-Bulk, functional PBE-GGA.

Cell lengths 4.0670, 4.0670, 9.2815 Å; angles 90.00, 90.00, 90.00 degrees
Space group P-4m2 (No. 115)
Symmetry-distinct sites (fractional):
Ce  0.0000  0.0000  0.0000
Ce  0.0000  0.5000  0.7308
Se  0.5000  0.5000  0.0000
Cl  0.0000  0.5000  0.3955

energy relative to the elements, uncorrected = -1.2844 eV/atom

[2]
A geometry-optimized Ce5Se5Cl2 structure. Source: Alexandria via LeMat-Bulk, functional PBE-GGA.

Cell lengths 14.0797, 4.0878, 12.1391 Å; angles 90.00, 104.82, 90.00 degrees
Space group C2/m (No. 12)
Symmetry-distinct sites (fractional):
Ce  0.0000  0.0000  0.0000
Ce  0.1217  0.0000  0.4307
Ce  0.2069  0.5000  0.8159
Se  0.0000  0.5000  0.5000
Se  0.1549  0.5000  0.0482
Se  0.2363  0.5000  0.3428
Cl  0.0441  0.0000  0.7817

energy relative to the elements, uncorrected = -1.8079 eV/atom

[3]
A geometry-optimized Ce2SeCl structure. Source: Alexandria via LeMat-Bulk, functional PBE-GGA.

Cell lengths 7.1923, 4.1444, 6.9881 Å; angles 90.00, 109.97, 90.00 degrees
Space group C2/m (No. 12)
Symmetry-distinct sites (fractional):
Ce  0.2472  0.0000  0.2416
Se  0.0000  0.0000  0.5000
Cl  0.0000  0.5000  0.0000

energy relative to the elements, uncorrected = -1.6061 eV/atom
distance to the lowest polymorph of the same formula = 0 meV/atom

[4]
A geometry-optimized CeSeCl structure. Source: Alexandria via LeMat-Bulk, functional PBE-GGA.

Cell lengths 4.7014, 4.7014, 4.0346 Å; angles 90.00, 90.00, 120.00 degrees
Space group P-6m2 (No. 187)
Symmetry-distinct sites (fractional):
Ce  0.0000  0.0000  0.0000
Se  0.6667  0.3333  0.5000
Cl  0.3333  0.6667  0.0000

energy relative to the elements, uncorrected = -1.6942 eV/atom

Question: The highest energy relative to the elements, uncorrected belongs to which entry?
Answer: Ce3SeCl2

Question: Among the records above, which one has the lowest energy relative to the elements, uncorrected?
Answer: Ce5Se5Cl2